{"formula": "RbCoRuO4", "functional": "PBE+U", "state": "relaxed", "dos_at_fermi_per_ev_fu": 2.0, "m_tot_mub_per_fu": 2.82, "final_energy_ev_per_fu": -41.98, "lattice_angstrom": [[5.6852, 0.0000, 0.0000], [0.0000, 5.3992, 0.0000], [-1.3981, 0.0000, 7.0155]], "species": ["Rb", "Rb", "Co", "Co", "Ru", "Ru", "O", "O", "O", "O", "O", "O", "O", "O"], "fractional_positions": [[0.1916, 0.2500, 0.0885], [0.8084, 0.7500, 0.9115], [0.3841, 0.2500, 0.6482], [0.6159, 0.7500, 0.3518], [0.1459, 0.7500, 0.4640], [0.8541, 0.2500, 0.5360], [0.1103, 0.0104, 0.6606], [0.1103, 0.4896, 0.6606], [0.2783, 0.7500, 0.2299], [0.4774, 0.7500, 0.5800], [0.5226, 0.2500, 0.4200], [0.7217, 0.2500, 0.7701], [0.8897, 0.5104, 0.3394], [0.8897, 0.9896, 0.3394]]}